{"formula": "KTeIr2", "functional": "PBE-GGA", "state": "relaxed", "cell": [[-1.286, 1.651, -3.788], [-3.218, -2.890, -0.167], [-2.460, 2.625, 1.979]], "species": ["Ir", "Ir", "Te", "K"], "frac_coords": [[0.500, 0.500, 0.000], [0.000, 0.000, 0.000], [0.000, 0.500, 0.500], [0.500, 0.000, 0.500]], "energy_ev_per_atom": -4.654}

{"formula": "BaAsBr2O", "functional": "PBE-GGA", "state": "relaxed", "cell": [[6.054, 0.000, 0.000], [0.000, 6.054, 0.000], [0.000, 0.000, 3.805]], "species": ["Br", "Br", "As", "O", "Ba"], "frac_coords": [[0.500, 0.000, 0.000], [0.000, 0.500, 0.000], [0.000, 0.000, 0.500], [0.000, 0.000, 0.000], [0.500, 0.500, 0.500]], "energy_ev_per_atom": -3.839, "polymorph_energy_mev_per_atom": 0.0}

Across the entries above, energy relative to the elements, uncorrected takes the values 3.34; -4.32 eV/f.u., respectively.